VASP calculation (PBE) on a geometry-optimized Pr2ThSc structure.

a b c (Å): 5.6669 5.6669 5.6669
angles (deg): 60.00 60.00 60.00
With the nearest neighbours (Å) after each atom.
Positions (direct):
Pr 0.2500 0.2500 0.2500  4 Th 3.47, 4 Sc 3.47
Pr 0.7500 0.7500 0.7500  4 Th 3.47, 4 Sc 3.47
Th 0.0000 0.0000 0.0000  8 Pr 3.47
Sc 0.5000 0.5000 0.5000  8 Pr 3.47

Calculated values
**Offset from the most stable computed form**: 0.60 eV per formula unit
**DFT total energy**: -5.60 eV per atom
**Space group**: Fm-3m (225)
**Formation energy from the elements**: 0.227 eV per atom